# 1
KIr3Br | the Alexandria database | PBE-GGA | optimized geometry; energy above the lowest structure with this stoichiometry = 1595 meV per atom; DOS(E_F) = 6.7 states/eV/f.u.; energy = -13.06 eV per formula unit; raw formation energy = 3258 meV/atom; crystal system = cubic; space group = Pm-3m (221)
1.0
4.9896 0.0000 0.0000
0.0000 4.9896 0.0000
0.0000 0.0000 4.9896
K Ir Br
1 3 1
Cartesian
0.0000 0.0000 0.0000
0.0000 0.0000 2.4948
0.0000 2.4948 0.0000
2.4948 0.0000 0.0000
2.4948 2.4948 2.4948



# 2
Ca12MgPd5 | the Alexandria database | PBE-GGA | optimized geometry; DOS(E_F) = 13.5 states/eV/f.u.; energy = -59.58 eV per formula unit; crystal system = orthorhombic; space group = Immm (71); ΔH_f (0 K) = -0.445 eV/atom
1.0
-4.8254 4.9655 5.5493
4.8254 -4.9655 5.5493
4.8254 4.9655 -5.5493
Ca Mg Pd
12 1 5
Cartesian
4.8254 3.0860 -2.9976
2.7405 1.7367 0.0000
6.9104 1.7367 0.0000
1.7647 4.9655 -1.8223
3.0607 0.0000 3.7270
0.0000 1.8795 2.5517
4.8254 3.0860 2.9976
1.7647 4.9655 1.8223
3.0607 0.0000 7.3716
-2.0850 3.2288 5.5493
2.0850 3.2288 5.5493
0.0000 1.8795 8.5469
0.0000 0.0000 5.5493
0.0000 0.0000 0.0000
4.8254 0.0000 1.4183
0.0000 3.2521 0.0000
0.0000 6.6788 0.0000
0.0000 4.9655 4.1310



# 3
KAs2Ir | the Alexandria database | PBE-GGA | optimized geometry; energy above the lowest structure with this stoichiometry = 174 meV per atom; DOS(E_F) = 2.1 states/eV/f.u.; energy = -19.79 eV per formula unit; crystal system = orthorhombic; space group = Pmmm (47); ΔH_f (0 K) = -0.133 eV/atom
1.0
2.9545 0.0000 0.0000
0.0000 4.1187 0.0000
0.0000 0.0000 7.0821
K As Ir
1 2 1
Cartesian
0.0000 0.0000 0.0000
1.4772 2.0593 2.1639
1.4772 2.0593 4.9182
1.4772 0.0000 3.5410



# 4
TbMnSi3Os | the Alexandria database | PBE-GGA | optimized geometry; DOS(E_F) = 1.1 states/eV/f.u.; energy = -43.25 eV per formula unit; raw formation energy = -326 meV/atom; crystal system = orthorhombic; space group = Cmcm (63)
1.0
2.8900 -5.7093 0.0000
2.8900 5.7093 0.0000
0.0000 0.0000 6.2836
Tb Mn Si Os
2 2 6 2
Cartesian
2.8900 3.0914 4.7127
2.8900 -3.0914 1.5709
2.8900 -0.0048 1.5709
2.8900 0.0048 4.7127
1.2238 0.0000 0.0000
1.2238 0.0000 3.1418
2.8900 2.0956 1.5709
2.8900 -2.0956 4.7127
4.5561 0.0000 0.0000
4.5561 0.0000 3.1418
2.8900 4.3435 1.5709
2.8900 -4.3435 4.7127



# 5
TaMn2As | the Alexandria database | PBE-GGA | optimized geometry; DOS(E_F) = 3.7 states/eV/f.u.; energy = -34.46 eV per formula unit; crystal system = orthorhombic; space group = Cmmm (65); ΔH_f (0 K) = 0.096 eV/atom
1.0
1.7134 -2.2393 0.0000
1.7134 2.2393 0.0000
0.0000 0.0000 7.5777
Ta Mn As
1 2 1
Cartesian
0.0000 0.0000 0.0000
1.7134 0.0000 2.0539
1.7134 0.0000 5.5238
0.0000 0.0000 3.7889



# 6
Tl2ZnPt2 | the Alexandria database | PBE-GGA | optimized geometry; energy above the lowest structure with this stoichiometry = 341 meV per atom; DOS(E_F) = 2.0 states/eV/f.u.; energy = -16.70 eV per formula unit; crystal system = tetragonal; space group = I4/mmm (139); ΔH_f (0 K) = 0.277 eV/atom
1.0
-2.1169 2.1169 6.3041
2.1169 -2.1169 6.3041
2.1169 2.1169 -6.3041
Tl Zn Pt
2 1 2
Cartesian
2.1169 0.0000 3.1521
0.0000 2.1169 3.1521
0.0000 0.0000 0.0000
0.0000 0.0000 5.0360
0.0000 0.0000 7.5723



# 7
AcSe2O6 | the Alexandria database | PBE-GGA | optimized geometry; energy above the lowest structure with this stoichiometry = 0 meV per atom; DOS(E_F) = 3.3 states/eV/f.u.; energy = -54.72 eV per formula unit; raw formation energy = -1544 meV/atom; crystal system = monoclinic; space group = C2/c (15)
1.0
5.8423 -4.1594 0.0000
5.8423 4.1594 0.0000
-4.3773 0.0000 6.2271
Ac Se O
2 4 12
Cartesian
2.5593 2.8407 4.6703
4.7480 -2.8407 1.5568
2.3155 0.0018 1.8438
0.1269 -0.0018 4.9574
7.1804 0.0018 1.2697
4.9918 -0.0018 4.3833
-1.2699 0.4020 4.0267
0.9187 -0.4020 0.9132
1.5053 0.8660 3.1243
0.6398 1.4217 5.7222
3.6940 -0.8660 0.0108
4.4788 1.4217 3.6185
2.8285 -1.4217 2.6086
3.6133 0.8660 6.2163
6.6675 -1.4217 0.5049
5.8019 -0.8660 3.1028
6.3886 0.4020 5.3139
8.5772 -0.4020 2.2004



# 8
Rb3IO3 | the Alexandria database | PBE-GGA | optimized geometry; DOS(E_F) = 0.0 states/eV/f.u.; energy = -26.37 eV per formula unit; raw formation energy = -1006 meV/atom; crystal system = orthorhombic; space group = Cmcm (63)
1.0
4.3741 -7.5654 0.0000
4.3741 7.5654 0.0000
0.0000 0.0000 5.8238
Rb I O
6 2 6
Cartesian
4.3741 4.8974 4.3679
2.3226 1.3355 4.3679
2.3226 -1.3355 1.4560
6.4256 1.3355 4.3679
6.4256 -1.3355 1.4560
4.3741 -4.8974 1.4560
4.3741 2.5259 1.4560
4.3741 -2.5259 4.3679
4.3741 4.5854 1.4560
2.5934 1.4925 1.4560
2.5934 -1.4925 4.3679
6.1549 1.4925 1.4560
6.1549 -1.4925 4.3679
4.3741 -4.5854 4.3679



# 9
NiOsRu2 | the Alexandria database | PBE-GGA | optimized geometry; energy above the lowest structure with this stoichiometry = 399 meV per atom; DOS(E_F) = 4.5 states/eV/f.u.; energy = -33.63 eV per formula unit; crystal system = cubic; space group = F-43m (216); ΔH_f (0 K) = 0.482 eV/atom
1.0
0.0000 3.0148 3.0148
3.0148 0.0000 3.0148
3.0148 3.0148 0.0000
Ni Os Ru
1 1 2
Cartesian
0.0000 0.0000 0.0000
1.5074 1.5074 1.5074
3.0148 3.0148 3.0148
4.5222 4.5222 4.5222



# 10
Li2Y2Sb | the Alexandria database | PBE-GGA | optimized geometry; DOS(E_F) = 3.4 states/eV/f.u.; energy = -22.68 eV per formula unit; raw formation energy = -360 meV/atom; crystal system = tetragonal; space group = P4/mbm (127)
1.0
7.0790 0.0000 0.0000
0.0000 7.0790 0.0000
0.0000 0.0000 4.6449
Li Y Sb
4 4 2
Cartesian
0.9318 2.6077 0.0000
2.6077 6.1472 0.0000
4.4713 0.9318 0.0000
6.1472 4.4713 0.0000
1.2280 4.7675 2.3224
2.3115 1.2280 2.3224
4.7675 5.8510 2.3224
5.8510 2.3115 2.3224
0.0000 0.0000 0.0000
3.5395 3.5395 0.0000



# 11
TbPrAl4 | the Alexandria database | PBE-GGA | optimized geometry; DOS(E_F) = 5.2 states/eV/f.u.; energy = -27.34 eV per formula unit; crystal system = cubic; space group = F-43m (216); ΔH_f (0 K) = -0.494 eV/atom
1.0
0.0000 3.9952 3.9952
3.9952 0.0000 3.9952
3.9952 3.9952 0.0000
Tb Pr Al
1 1 4
Cartesian
0.0000 0.0000 0.0000
1.9976 1.9976 1.9976
4.9952 2.9953 2.9953
2.9953 4.9952 2.9953
2.9953 2.9953 4.9952
4.9952 4.9952 4.9952



# 12
CuTe2Mo | the Alexandria database | PBE-GGA | optimized geometry; energy above the lowest structure with this stoichiometry = 523 meV per atom; DOS(E_F) = 2.7 states/eV/f.u.; energy = -18.73 eV per formula unit; raw formation energy = 619 meV/atom; crystal system = tetragonal; space group = I-4m2 (119)
1.0
-2.0070 2.0070 5.1267
2.0070 -2.0070 5.1267
2.0070 2.0070 -5.1267
Cu Te Mo
1 2 1
Cartesian
0.0000 0.0000 0.0000
0.0000 0.0000 5.1267
0.0000 2.0070 2.5633
2.0070 0.0000 2.5633